[1]
Below is CaCoOs after structural relaxation, with properties calculated at the PBE level.

Cell and atoms, written as POSCAR:
```
CaCoOs
1.0
-0.694 -2.615 0.934
2.081 0.321 -1.939
4.649 0.582 5.085
Co Ca Os
1 1 1
Cartesian
1.903 -1.427 1.806
0.021 0.003 0.023
4.111 -0.288 2.251
```

Properties
The total moment is 0.39 μB per atom. Its relative energy among the computed polymorphs is 655 meV/atom. Its symmetry is P3m1, No. 156. The calculation puts the mass density at 9.79 g cm⁻³. The calculation puts the total energy at -18.08 eV for the cell shown. For the energy of formation from the pure elements, the calculation gives 0.75 eV/atom.



[2]
Below is CaCoOs4 after structural relaxation, with properties calculated at the PBE level.

Cell and atoms, written as POSCAR:
```
CaCoOs4
1.0
-3.320 -1.279 -3.813
-3.720 3.354 -1.452
0.301 2.384 -4.628
Ca Co Os
1 1 4
Cartesian
-5.055 3.345 -7.420
0.000 0.000 0.000
-4.191 1.028 -5.619
-2.373 2.867 -6.028
-4.391 3.354 -4.434
-2.524 1.670 -3.705
```

Properties
The total moment is 0.44 μB per atom. Its symmetry is F-43m, No. 216. The calculation puts the mass density at 14.24 g cm⁻³. The calculation puts the total energy at -50.50 eV for the cell shown. For the energy of formation from the pure elements, the calculation gives 0.59 eV/atom.



Repeat the second record exactly.
Below is CaCoOs4 after structural relaxation, with properties calculated at the PBE level.

Cell and atoms, written as POSCAR:
```
CaCoOs4
1.0
-3.320 -1.279 -3.813
-3.720 3.354 -1.452
0.301 2.384 -4.628
Ca Co Os
1 1 4
Cartesian
-5.055 3.345 -7.420
0.000 0.000 0.000
-4.191 1.028 -5.619
-2.373 2.867 -6.028
-4.391 3.354 -4.434
-2.524 1.670 -3.705
```

Properties
The total moment is 0.44 μB per atom. Its symmetry is F-43m, No. 216. The calculation puts the mass density at 14.24 g cm⁻³. The calculation puts the total energy at -50.50 eV for the cell shown. For the energy of formation from the pure elements, the calculation gives 0.59 eV/atom.



> total moment of number 1 (CaCoOs)?

0.39 μB per atom



> Which value of total moment does entry 2 give?

0.44 μB per atom